# TbSmSc2 PBE relaxed
# Polymorph energy (0 for the lowest one): 2.0 meV/atom
# Formation enthalpy at 0 K: 1.19 kcal/mol of atoms
# Space group: P4/mmm (123)
# Density: 5.83 g cm⁻³
data_TbSmSc2
_chemical_formula_sum 'Tb1 Sm1 Sc2'
_space_group_name_H-M_alt 'P 1'
_space_group_IT_number 1
_cell_length_a 3.515
_cell_length_b 3.515
_cell_length_c 9.201
_cell_angle_alpha 90.00
_cell_angle_beta 90.00
_cell_angle_gamma 90.00
loop_
_space_group_symop_operation_xyz
'x,y,z'
loop_
_atom_site_label
_atom_site_fract_x
_atom_site_fract_y
_atom_site_fract_z
_atom_site_occupancy
Sm1 0.500 0.500 0.000 1
Sc1 0.000 0.000 0.748 1
Sc2 0.000 0.000 0.252 1
Tb1 0.500 0.500 0.500 1